# CrInAu2

A geometry-optimized CrInAu2 structure (PBE, Alexandria via LeMat-Bulk).

For the uncorrected energy, the calculation gives -37.84 eV per cell. As for the total moment: 0.98 μB per atom. As for the crystal system: orthorhombic. The calculation puts the formation energy at -0.0011 eV per atom. Its calculated density is 12.610 g/cm3.

The space group is Cmmm (No. 65) and the conventional cell measures 6.2039, 6.2184 and 3.8282 Å, with angles of 90.00, 90.00 and 90.00 degrees. The asymmetric unit holds Cr at (0.0000, 0.0000, 0.0000), In at (0.0000, 0.5000, 0.0000) and Au at (0.2500, 0.2500, 0.5000).